# 1
Here is RuRh5 after structural relaxation from Alexandria via LeMat-Bulk. Energies are from GGA-PBE.

The energy comes out at -7.660 eV per atom. The calculation puts the formation energy at 0.012 eV/atom. The value obtained for the density of states at the Fermi level is 6.446 states/eV per cell. The calculated density comes out at 12.06 g cm⁻³.

The structure belongs to space group P4/mmm (No. 123); the cell edges are 2.713, 2.713 and 11.515 Å and the angles 90.00°, 90.00° and 90.00°. The distinct sites, in fractional coordinates, are Ru at (0.000, 0.000, 0.000), Rh at (0.000, 0.000, 0.334), Rh at (0.500, 0.500, 0.163) and Rh at (0.500, 0.500, 0.500).

# 2
Here is RbPS2 after structural relaxation from Alexandria via LeMat-Bulk. Energies are from GGA-PBE.

The energy comes out at -4.052 eV per atom. The calculation puts the uncorrected formation energy at -38.0 kJ/mol of atoms. The value obtained for the density of states at the Fermi level is 0.370 states/eV per cell. The calculated density comes out at 2.40 g cm⁻³.

The structure belongs to space group I-42d (No. 122); the cell edges are 6.804, 6.804 and 10.801 Å and the angles 90.00°, 90.00° and 90.00°. The distinct sites, in fractional coordinates, are Rb at (0.000, 0.000, 0.000), P at (0.000, 0.000, 0.500) and S at (0.100, 0.250, 0.625).

# 3
Here is CeGePdO after structural relaxation from Alexandria via LeMat-Bulk. Energies are from GGA-PBE.

The energy comes out at -6.581 eV per atom. The calculation puts the uncorrected formation energy at -135.6 kJ/mol of atoms. The value obtained for the density of states at the Fermi level is 9.327 states/eV per cell. The calculated density comes out at 7.99 g cm⁻³.

The structure belongs to space group I4mm (No. 107); the cell edges are 3.265, 3.265 and 13.062 Å and the angles 90.00°, 90.00° and 90.00°. The distinct sites, in fractional coordinates, are Ce at (0.000, 0.000, 0.000), Ge at (0.000, 0.000, 0.690), Pd at (0.000, 0.000, 0.276) and O at (0.000, 0.000, 0.452).

# 4
Here is Mn2CrSi after structural relaxation from Alexandria via LeMat-Bulk. Energies are from GGA-PBE.

The energy comes out at -8.567 eV per atom. The calculation puts the uncorrected formation energy at -21.3 kJ/mol of atoms. The value obtained for the density of states at the Fermi level is 5.998 states/eV per cell. The calculated density comes out at 6.82 g cm⁻³.

The structure belongs to space group Immm (No. 71); the cell edges are 3.171, 3.924 and 7.433 Å and the angles 90.00°, 90.00° and 90.00°. The distinct sites, in fractional coordinates, are Mn at (0.000, 0.000, 0.246), Cr at (0.000, 0.500, 0.500) and Si at (0.000, 0.500, 0.000).

# 5
Here is PtW2Se after structural relaxation from Alexandria via LeMat-Bulk. Energies are from GGA-PBE.

The energy comes out at -8.369 eV per atom. The calculation puts the uncorrected formation energy at 47.2 kJ/mol of atoms. The value obtained for the density of states at the Fermi level is 6.362 states/eV per cell. The calculated density comes out at 16.38 g cm⁻³.

The structure belongs to space group C2/m (No. 12); the cell edges are 5.421, 8.563 and 2.888 Å and the angles 90.00°, 103.91° and 90.00°. The distinct sites, in fractional coordinates, are Pt at (0.000, 0.000, 0.000), W at (0.250, 0.250, 0.500) and Se at (0.000, 0.500, 0.000).